VASP calculation (PBE) on an optimized crystal structure of ZrPaAu.

## Properties
- spin magnetization (μB/cell) = 0.00
- final energy (eV for the cell shown) = -21.3
- energy above the lowest structure with this stoichiometry (meV per atom) = 104.7
- calculated formation energy (meV/atom) = -3

Structure (CIF):
```
data_ZrPaAu
_cell_length_a 5.0138
_cell_length_b 5.0138
_cell_length_c 3.1071
_cell_angle_alpha 90.00
_cell_angle_beta 90.00
_cell_angle_gamma 120.00
_symmetry_space_group_name_H-M 'P 3 m 1'
_symmetry_Int_Tables_number 156
_symmetry_space_group_name_Hall 'P 3 -2"'
loop_
_atom_site_label
_atom_site_type_symbol
_atom_site_fract_x
_atom_site_fract_y
_atom_site_fract_z
_atom_site_occupancy
Zr1 Zr 0.0000 0.0000 0.0000 1
Pa1 Pa 0.6667 0.3333 0.4524 1
Au1 Au 0.3333 0.6667 0.8653 1
```

---

VASP calculation (PBE) on an optimized crystal structure of Tm5SeS4.

## Properties
- spin magnetization (μB/cell) = 0.00
- final energy (eV for the cell shown) = -122.2
- raw formation energy (eV/f.u.) = -18.7

Structure (CIF):
```
data_Tm5SeS4
_cell_length_a 12.900
_cell_length_b 3.871
_cell_length_c 9.493
_cell_angle_alpha 90.00
_cell_angle_beta 119.67
_cell_angle_gamma 90.00
_symmetry_space_group_name_H-M 'C 1 2/m 1'
_symmetry_Int_Tables_number 12
_symmetry_space_group_name_Hall '-C 2y'
loop_
_atom_site_label
_atom_site_type_symbol
_atom_site_fract_x
_atom_site_fract_y
_atom_site_fract_z
_atom_site_occupancy
Tm1 Tm 0.000 0.000 0.000 1
Tm2 Tm 0.109 0.500 0.394 1
Tm3 Tm 0.206 0.000 0.809 1
Se1 Se 0.000 0.000 0.500 1
S1 S 0.096 0.500 0.896 1
S2 S 0.203 0.000 0.296 1
```

---

VASP calculation (PBE) on an optimized crystal structure of Li2WAu.

## Properties
- spin magnetization (μB/cell) = 5.64
- final energy (eV for the cell shown) = -70.2
- energy above the lowest structure with this stoichiometry (meV per atom) = 532.4
- calculated formation energy (meV/atom) = 624

Structure (CIF):
```
data_Li2WAu
_cell_length_a 6.088
_cell_length_b 6.088
_cell_length_c 6.088
_cell_angle_alpha 90.00
_cell_angle_beta 90.00
_cell_angle_gamma 90.00
_symmetry_space_group_name_H-M 'F m -3 m'
_symmetry_Int_Tables_number 225
_symmetry_space_group_name_Hall '-F 4 2 3'
loop_
_atom_site_label
_atom_site_type_symbol
_atom_site_fract_x
_atom_site_fract_y
_atom_site_fract_z
_atom_site_occupancy
Li1 Li 0.250 0.250 0.250 1
W1 W 0.000 0.000 0.000 1
Au1 Au 0.000 0.000 0.500 1
```